Computed, not measured: a geometry-optimized Th2Ga2Au3 structure at the PBE level of DFT.

Unit cell a=4.301 b=5.781 c=7.183 alpha=111.19 beta=90.00 gamma=111.84
Element x y z (fractional)
Au (0.500, 0.000, 0.000)
Ga (0.853, 0.707, 0.788)
Ga (0.147, 0.293, 0.212)
Au (0.386, 0.771, 0.565)
Th (0.856, 0.711, 0.230)
Au (0.614, 0.229, 0.435)
Th (0.144, 0.289, 0.770)

Calculated values
For the total energy, the calculation gives -5.0012 eV/atom. The calculation puts the size of the total moment at 0.00 μB/f.u. For the calculated density, the calculation gives 12988 kg/m³. The energy of formation comes out at -0.612 eV/atom. Its polymorph energy (0 for the lowest one) is 0.0000 eV/atom. The volume is 152.7 Å³/f.u.

Computed, not measured: a geometry-optimized TmSc2Be structure at the PBE level of DFT.

Unit cell a=3.212 b=3.212 c=10.984 alpha=81.59 beta=81.59 gamma=60.00
Element x y z (fractional)
Sc (0.916, 0.916, 0.251)
Sc (0.084, 0.084, 0.749)
Be (0.000, 0.000, 0.000)
Tm (0.500, 0.500, 0.500)

Calculated values
For the total energy, the calculation gives -4.5514 eV/atom. The calculation puts the size of the total moment at 0.00 μB/f.u. For the calculated density, the calculation gives 4598 kg/m³. The energy of formation comes out at 0.664 eV/atom. Its polymorph energy (0 for the lowest one) is 0.6360 eV/atom. The volume is 96.7 Å³/f.u.

Computed, not measured: a geometry-optimized NiHgHPd2 structure at the PBE level of DFT.

Unit cell a=3.891 b=3.891 c=4.402 alpha=90.00 beta=90.00 gamma=90.00
Each line ends with the local moment (μB).
Element x y z (fractional)
Ni (0.500, 0.500, 0.500)  0.41
Pd (0.500, 0.000, 0.000)  0.05
H (0.000, 0.000, 0.000)  0.00
Pd (0.000, 0.500, 0.000)  0.05
Hg (0.000, 0.000, 0.500)  -0.01

Calculated values
For the total energy, the calculation gives -3.8222 eV/atom. The calculation puts the size of the total moment at 0.48 μB/f.u. For the calculated density, the calculation gives 11789 kg/m³. Its polymorph energy (0 for the lowest one) is 0.2017 eV/atom. The volume is 66.6 Å³/f.u.

Computed, not measured: a geometry-optimized LaTeMo2 structure at the PBE level of DFT.

Unit cell a=3.356 b=3.356 c=7.813 alpha=90.00 beta=90.00 gamma=90.00
Element x y z (fractional)
Te (0.000, 0.000, 0.441)
Mo (0.500, 0.500, 0.226)
Mo (0.000, 0.000, 0.052)
La (0.500, 0.500, 0.781)

Calculated values
For the total energy, the calculation gives -7.3899 eV/atom. The calculation puts the size of the total moment at 0.00 μB/f.u. For the calculated density, the calculation gives 8651 kg/m³. The formation energy without anion corrections is 43 meV per atom. The volume is 88.0 Å³/f.u.

Computed, not measured: a geometry-optimized Fe3PdRh4 structure at the PBE level of DFT.

Unit cell a=4.591 b=5.490 c=8.708 alpha=90.00 beta=90.00 gamma=90.00
Each line ends with the local moment (μB).
Element x y z (fractional)
Fe (0.338, 0.000, 0.250)  2.91
Fe (0.345, 0.500, 0.250)  3.04
Rh (0.500, 0.243, 0.500)  0.39
Fe (0.000, 0.000, 0.000)  2.80
Rh (0.500, 0.757, 0.000)  0.39
Fe (0.000, 0.000, 0.500)  2.80
Rh (0.846, 0.246, 0.250)  0.37
Pd (0.000, 0.500, 0.000)  0.17
Fe (0.655, 0.500, 0.750)  3.04
Rh (0.154, 0.754, 0.750)  0.37
Rh (0.154, 0.246, 0.750)  0.37
Rh (0.500, 0.243, 0.000)  0.39
Fe (0.662, 0.000, 0.750)  2.91
Pd (0.000, 0.500, 0.500)  0.17
Rh (0.500, 0.757, 0.500)  0.39
Rh (0.846, 0.754, 0.250)  0.37

Calculated values
For the total energy, the calculation gives -7.4858 eV/atom. The calculation puts the size of the total moment at 10.38 μB/f.u. For the calculated density, the calculation gives 10373 kg/m³. The energy of formation comes out at 0.013 eV/atom. The volume is 109.7 Å³/f.u.

Computed, not measured: a geometry-optimized NaLiAlF5 structure at the PBE level of DFT.

Unit cell a=5.539 b=5.539 c=7.195 alpha=103.69 beta=103.69 gamma=107.80
Element x y z (fractional)
Li (0.686, 0.314, 0.250)
Li (0.314, 0.686, 0.750)
F (0.239, 0.341, 0.585)
F (0.761, 0.659, 0.415)
F (0.279, 0.899, 0.587)
F (0.101, 0.721, 0.913)
F (0.943, 0.057, 0.750)
F (0.659, 0.761, 0.915)
F (0.721, 0.101, 0.413)
Na (0.669, 0.331, 0.750)
F (0.057, 0.943, 0.250)
Al (0.000, 0.000, 0.000)
Al (0.000, 0.000, 0.500)
F (0.899, 0.279, 0.087)
Na (0.331, 0.669, 0.250)
F (0.341, 0.239, 0.085)

Calculated values
For the total energy, the calculation gives -5.2972 eV/atom. The calculation puts the size of the total moment at 0.00 μB/f.u. For the calculated density, the calculation gives 2621 kg/m³. The formation energy without anion corrections is -3256 meV per atom. The volume is 96.2 Å³/f.u.

Computed, not measured: a geometry-optimized Cd3In12Ag5 structure at the PBE level of DFT.

Unit cell a=14.453 b=14.453 c=14.453 alpha=109.47 beta=109.47 gamma=109.47
Element x y z (fractional)
In (0.331, 0.774, 0.405)
In (0.074, 0.905, 0.131)
Ag (0.000, 0.000, 0.500)
Ag (0.750, 0.125, 0.875)
In (0.774, 0.331, 0.905)
Ag (0.500, 0.000, 0.000)
In (0.631, 0.574, 0.905)
Cd (0.875, 0.750, 0.125)
In (0.558, 0.331, 0.926)
In (0.274, 0.869, 0.942)
In (0.595, 0.869, 0.426)
In (0.669, 0.226, 0.595)
Ag (0.125, 0.750, 0.375)
In (0.869, 0.595, 0.926)
In (0.369, 0.426, 0.095)
In (0.574, 0.942, 0.669)
Ag (0.125, 0.375, 0.250)
Ag (0.500, 0.000, 0.500)
Cd (0.625, 0.250, 0.375)
In (0.726, 0.595, 0.169)
In (0.942, 0.574, 0.169)
Ag (0.250, 0.875, 0.125)
Ag (0.000, 0.500, 0.500)
Cd (0.750, 0.375, 0.125)
Cd (0.750, 0.875, 0.625)
Ag (0.250, 0.375, 0.625)
In (0.074, 0.169, 0.442)
Ag (0.375, 0.250, 0.125)
In (0.869, 0.274, 0.442)
Ag (0.500, 0.500, 0.500)
Cd (0.375, 0.750, 0.625)
In (0.926, 0.095, 0.869)
In (0.274, 0.405, 0.831)
In (0.058, 0.426, 0.831)
In (0.558, 0.226, 0.131)
Ag (0.875, 0.250, 0.625)
In (0.095, 0.169, 0.226)
Cd (0.375, 0.625, 0.250)
In (0.926, 0.831, 0.558)
In (0.831, 0.926, 0.058)
In (0.574, 0.631, 0.405)
In (0.405, 0.274, 0.331)
In (0.405, 0.131, 0.574)
Ag (0.000, 0.500, 0.000)
In (0.226, 0.558, 0.631)
In (0.669, 0.442, 0.574)
Ag (0.500, 0.500, 0.000)
In (0.905, 0.831, 0.774)
Ag (0.375, 0.125, 0.750)
In (0.726, 0.131, 0.058)
Ag (0.625, 0.875, 0.250)
Ag (0.000, 0.000, 0.000)
Cd (0.125, 0.875, 0.750)
In (0.442, 0.669, 0.074)
In (0.442, 0.774, 0.869)
In (0.058, 0.631, 0.726)
Cd (0.625, 0.375, 0.750)
In (0.774, 0.442, 0.369)
In (0.905, 0.074, 0.631)
In (0.131, 0.726, 0.558)
In (0.095, 0.926, 0.369)
In (0.131, 0.405, 0.074)
Cd (0.250, 0.625, 0.875)
Cd (0.875, 0.125, 0.250)
In (0.426, 0.058, 0.331)
In (0.426, 0.369, 0.595)
Cd (0.250, 0.125, 0.375)
Cd (0.125, 0.250, 0.875)
In (0.942, 0.369, 0.274)
In (0.369, 0.942, 0.774)
In (0.169, 0.074, 0.942)
In (0.595, 0.726, 0.669)
In (0.631, 0.058, 0.226)
In (0.169, 0.095, 0.726)
Ag (0.875, 0.625, 0.750)
In (0.331, 0.558, 0.426)
In (0.831, 0.905, 0.274)
Ag (0.625, 0.750, 0.875)
Ag (0.750, 0.625, 0.375)
In (0.226, 0.669, 0.095)

Calculated values
For the total energy, the calculation gives -2.3054 eV/atom. The calculation puts the size of the total moment at 0.00 μB/f.u. For the calculated density, the calculation gives 6443 kg/m³. The energy of formation comes out at 0.188 eV/atom. The volume is 581.1 Å³/f.u.

Computed, not measured: a geometry-optimized UTlCuTe3 structure at the PBE level of DFT.

Unit cell a=4.278 b=8.184 c=11.273 alpha=90.00 beta=90.00 gamma=105.15
Each line ends with the local moment (μB).
Element x y z (fractional)
Tl (0.757, 0.514, 0.750)  -0.01
U (0.000, 0.000, 0.000)  2.19
Cu (0.470, 0.941, 0.750)  -0.04
Tl (0.243, 0.486, 0.250)  -0.01
Te (0.072, 0.144, 0.750)  -0.06
Te (0.631, 0.262, 0.064)  -0.06
Te (0.369, 0.738, 0.936)  -0.06
Cu (0.530, 0.059, 0.250)  -0.04
Te (0.631, 0.262, 0.436)  -0.06
U (0.000, 0.000, 0.500)  2.19
Te (0.928, 0.856, 0.250)  -0.06
Te (0.369, 0.738, 0.564)  -0.06

Calculated values
For the total energy, the calculation gives -5.0045 eV/atom. The calculation puts the size of the total moment at 2.00 μB/f.u. For the calculated density, the calculation gives 7749 kg/m³. The formation energy without anion corrections is -475 meV per atom. The volume is 190.5 Å³/f.u.

calculated density of number 6 (NaLiAlF5)?
2621 kg/m³